[1]
# PBE MgZrPd4, relaxed
# Crystal system = monoclinic
# D(E_F) = 5.6 states/eV/cell
# Density = 8.987 g/cm³
# Energy of formation from the pure elements = -0.64 eV per atom
data_MgZrPd4
_cell_length_a 9.4776
_cell_length_b 3.6788
_cell_length_c 6.1043
_cell_angle_alpha 90.00
_cell_angle_beta 110.00
_cell_angle_gamma 90.00
_symmetry_space_group_name_H-M 'C 1 2/m 1'
_symmetry_Int_Tables_number 12
loop_
_symmetry_equiv_pos_as_xyz
'x,y,z'
'-x,-y,-z'
'-x,y,-z'
'x,-y,z'
'x+1/2,y+1/2,z'
'-x+1/2,-y+1/2,-z'
'-x+1/2,y+1/2,-z'
'x+1/2,-y+1/2,z'
loop_
_atom_site_label
_atom_site_fract_x
_atom_site_fract_y
_atom_site_fract_z
Mg1 0.0000 0.0000 0.0000
Zr1 0.0000 0.0000 0.5000
Pd1 0.1587 0.5000 0.8346
Pd2 0.1650 0.5000 0.3292

[2]
# PBE CsAl3Cu, relaxed
# Crystal system = cubic
# D(E_F) = 5.2 states/eV/cell
# Density = 3.739 g/cm³
# Energy relative to the lowest polymorph listed for this composition = 0.000 eV per atom
# Energy of formation from the pure elements = 0.43 eV per atom
data_CsAl3Cu
_cell_length_a 4.9758
_cell_length_b 4.9758
_cell_length_c 4.9758
_cell_angle_alpha 90.00
_cell_angle_beta 90.00
_cell_angle_gamma 90.00
_symmetry_space_group_name_H-M 'P m -3 m'
_symmetry_Int_Tables_number 221
_symmetry_space_group_name_Hall '-P 4 2 3'
loop_
_atom_site_label
_atom_site_fract_x
_atom_site_fract_y
_atom_site_fract_z
Cs1 0.0000 0.0000 0.0000
Al1 0.0000 0.5000 0.5000
Cu1 0.5000 0.5000 0.5000

[3]
# PBE La7Tm16Th6, relaxed
# Crystal system = cubic
# D(E_F) = 213.6 states/eV/cell
# Density = 8.686 g/cm³
# Energy of formation from the pure elements = 0.24 eV per atom
data_La7Tm16Th6
_cell_length_a 15.7068
_cell_length_b 15.7068
_cell_length_c 15.7068
_cell_angle_alpha 90.00
_cell_angle_beta 90.00
_cell_angle_gamma 90.00
_symmetry_space_group_name_H-M 'F m -3 m'
_symmetry_Int_Tables_number 225
_symmetry_space_group_name_Hall '-F 4 2 3'
loop_
_atom_site_label
_atom_site_fract_x
_atom_site_fract_y
_atom_site_fract_z
La1 0.0000 0.0000 0.0000
La2 0.0000 0.2500 0.2500
Tm1 0.1127 0.1127 0.3873
Tm2 0.1467 0.1467 0.1467
Th1 0.0000 0.0000 0.2303

[4]
# PBE Ce3Si2Ni5, relaxed
# Crystal system = orthorhombic
# D(E_F) = 42.4 states/eV/cell
# Formation energy without anion corrections = -347 meV/atom
# Density = 7.367 g/cm³
data_Ce3Si2Ni5
_cell_length_a 10.6733
_cell_length_b 11.8246
_cell_length_c 5.5003
_cell_angle_alpha 90.00
_cell_angle_beta 90.00
_cell_angle_gamma 90.00
_symmetry_space_group_name_H-M 'I b a m'
_symmetry_Int_Tables_number 72
_symmetry_space_group_name_Hall '-I 2 2c'
loop_
_atom_site_label
_atom_site_fract_x
_atom_site_fract_y
_atom_site_fract_z
Ce1 0.0000 0.0000 0.2500
Ce2 0.1899 0.3803 0.0000
Si1 0.1827 0.1340 0.0000
Ni1 0.0000 0.2048 0.2500
Ni2 0.0000 0.5000 0.2500
Ni3 0.1087 0.3522 0.5000

[5]
# PBE Rb2Cd2Cu, relaxed
# Crystal system = tetragonal
# D(E_F) = 6.5 states/eV/cell
# Density = 3.938 g/cm³
# Energy relative to the lowest polymorph listed for this composition = 0.019 eV per atom
# Energy of formation from the pure elements = 0.20 eV per atom
data_Rb2Cd2Cu
_cell_length_a 4.2168
_cell_length_b 4.2168
_cell_length_c 21.7827
_cell_angle_alpha 90.00
_cell_angle_beta 90.00
_cell_angle_gamma 90.00
_symmetry_space_group_name_H-M 'I 4/m m m'
_symmetry_Int_Tables_number 139
_symmetry_space_group_name_Hall '-I 4 2'
loop_
_atom_site_label
_atom_site_fract_x
_atom_site_fract_y
_atom_site_fract_z
Rb1 0.0000 0.0000 0.0950
Cd1 0.0000 0.5000 0.2500
Cu1 0.0000 0.0000 0.5000